[1]
Entry from the Alexandria database: a geometry-optimized Tb2AgTe4 structure (PBE).

Geometry as CIF:
```
data_Tb2AgTe4
_symmetry_space_group_name_H-M 'P 1'
_symmetry_Int_Tables_number 1
_cell_length_a 7.732
_cell_length_b 6.254
_cell_length_c 8.869
_cell_angle_alpha 90.00
_cell_angle_beta 102.46
_cell_angle_gamma 90.00
loop_
_symmetry_equiv_pos_as_xyz
'x,y,z'
loop_
_atom_site_label
_atom_site_fract_x
_atom_site_fract_y
_atom_site_fract_z
_atom_site_occupancy
Tb1 0.809 0.750 0.108 1
Tb2 0.191 0.250 0.892 1
Tb3 0.746 0.750 0.563 1
Tb4 0.254 0.250 0.437 1
Te1 0.541 0.007 0.266 1
Te2 0.049 0.750 0.866 1
Te3 0.459 0.993 0.734 1
Te4 0.951 0.250 0.134 1
Te5 0.082 0.750 0.415 1
Te6 0.918 0.250 0.585 1
Te7 0.459 0.507 0.734 1
Te8 0.541 0.493 0.266 1
Ag1 0.240 0.750 0.161 1
Ag2 0.760 0.250 0.839 1
```

raw total energy: -4.4477 eV/atom

=====

[2]
Entry from the Alexandria database: a geometry-optimized HoMgN structure (PBE).

Geometry as CIF:
```
data_HoMgN
_symmetry_space_group_name_H-M 'P 1'
_symmetry_Int_Tables_number 1
_cell_length_a 3.282
_cell_length_b 3.090
_cell_length_c 10.995
_cell_angle_alpha 90.00
_cell_angle_beta 98.58
_cell_angle_gamma 90.00
loop_
_symmetry_equiv_pos_as_xyz
'x,y,z'
loop_
_atom_site_label
_atom_site_fract_x
_atom_site_fract_y
_atom_site_fract_z
_atom_site_occupancy
Mg1 0.199 0.750 0.399 1
Mg2 0.801 0.250 0.601 1
N1 0.882 0.750 0.765 1
N2 0.118 0.250 0.235 1
Ho1 0.584 0.750 0.168 1
Ho2 0.416 0.250 0.832 1
```

raw total energy: -5.5204 eV/atom

=====

[3]
Entry from the Alexandria database: a geometry-optimized LiCd structure (PBE).

Geometry as CIF:
```
data_LiCd
_symmetry_space_group_name_H-M 'P 1'
_symmetry_Int_Tables_number 1
_cell_length_a 4.682
_cell_length_b 4.682
_cell_length_c 8.352
_cell_angle_alpha 90.00
_cell_angle_beta 90.00
_cell_angle_gamma 120.00
loop_
_symmetry_equiv_pos_as_xyz
'x,y,z'
loop_
_atom_site_label
_atom_site_fract_x
_atom_site_fract_y
_atom_site_fract_z
_atom_site_occupancy
Cd1 0.333 0.667 0.421 1
Cd2 0.333 0.667 0.079 1
Cd3 0.667 0.333 0.579 1
Cd4 0.667 0.333 0.921 1
Li1 0.667 0.333 0.250 1
Li2 0.000 0.000 0.750 1
Li3 0.333 0.667 0.750 1
Li4 0.000 0.000 0.250 1
```

raw total energy: -1.5716 eV/atom
formation enthalpy at 0 K: -0.16 eV per atom

=====

[4]
Entry from the Alexandria database: a geometry-optimized BrCl8 structure (PBE).

Geometry as CIF:
```
data_BrCl8
_symmetry_space_group_name_H-M 'P 1'
_symmetry_Int_Tables_number 1
_cell_length_a 8.459
_cell_length_b 8.459
_cell_length_c 8.459
_cell_angle_alpha 92.36
_cell_angle_beta 92.36
_cell_angle_gamma 156.57
loop_
_symmetry_equiv_pos_as_xyz
'x,y,z'
loop_
_atom_site_label
_atom_site_fract_x
_atom_site_fract_y
_atom_site_fract_z
_atom_site_occupancy
Cl1 0.000 0.358 0.358 1
Cl2 0.363 0.637 0.000 1
Cl3 0.000 0.642 0.642 1
Cl4 0.637 0.637 0.273 1
Cl5 0.637 0.363 0.000 1
Cl6 0.642 0.000 0.642 1
Cl7 0.358 0.000 0.358 1
Cl8 0.363 0.363 0.727 1
Br1 0.000 0.000 0.000 1
```

raw total energy: -1.0134 eV/atom

=====

[5]
Entry from the Alexandria database: a geometry-optimized Nd4Sm3Dy8 structure (PBE).

Geometry as CIF:
```
data_Nd4Sm3Dy8
_symmetry_space_group_name_H-M 'P 1'
_symmetry_Int_Tables_number 1
_cell_length_a 6.807
_cell_length_b 9.333
_cell_length_c 9.333
_cell_angle_alpha 87.25
_cell_angle_beta 111.44
_cell_angle_gamma 111.44
loop_
_symmetry_equiv_pos_as_xyz
'x,y,z'
loop_
_atom_site_label
_atom_site_fract_x
_atom_site_fract_y
_atom_site_fract_z
_atom_site_occupancy
Nd1 0.500 0.000 0.000 1
Nd2 0.000 0.500 0.000 1
Nd3 0.000 0.000 0.500 1
Nd4 0.000 0.000 0.000 1
Dy1 0.005 0.269 0.269 1
Dy2 0.000 0.360 0.640 1
Dy3 0.500 0.743 0.257 1
Dy4 0.995 0.731 0.731 1
Dy5 0.526 0.268 0.268 1
Dy6 0.474 0.732 0.732 1
Dy7 0.000 0.640 0.360 1
Dy8 0.500 0.257 0.743 1
Sm1 0.500 0.500 0.500 1
Sm2 0.500 0.500 0.000 1
Sm3 0.500 0.000 0.500 1
```

polymorph energy (0 for the lowest one): 3.50 eV/f.u.
raw total energy: -4.3115 eV/atom
formation enthalpy at 0 K: 0.36 eV per atom

=====

[6]
Entry from the Alexandria database: a geometry-optimized SrLaNpO6 structure (PBE).

Geometry as CIF:
```
data_SrLaNpO6
_symmetry_space_group_name_H-M 'P 1'
_symmetry_Int_Tables_number 1
_cell_length_a 6.022
_cell_length_b 6.022
_cell_length_c 9.569
_cell_angle_alpha 90.00
_cell_angle_beta 90.00
_cell_angle_gamma 120.00
loop_
_symmetry_equiv_pos_as_xyz
'x,y,z'
loop_
_atom_site_label
_atom_site_fract_x
_atom_site_fract_y
_atom_site_fract_z
_atom_site_occupancy
Np1 0.667 0.333 0.250 1
Np2 0.333 0.667 0.750 1
Sr1 0.333 0.667 0.250 1
Sr2 0.667 0.333 0.750 1
O1 0.058 0.377 0.634 1
O2 0.623 0.682 0.634 1
O3 0.058 0.682 0.866 1
O4 0.318 0.942 0.634 1
O5 0.377 0.318 0.366 1
O6 0.682 0.623 0.134 1
O7 0.623 0.942 0.866 1
O8 0.942 0.623 0.366 1
O9 0.318 0.377 0.866 1
O10 0.942 0.318 0.134 1
O11 0.377 0.058 0.134 1
O12 0.682 0.058 0.366 1
La1 0.000 0.000 0.000 1
La2 0.000 0.000 0.500 1
```

raw total energy: -8.4180 eV/atom

=====

[7]
Entry from the Alexandria database: a geometry-optimized SbTePI2 structure (PBE).

Geometry as CIF:
```
data_SbTePI2
_symmetry_space_group_name_H-M 'P 1'
_symmetry_Int_Tables_number 1
_cell_length_a 5.981
_cell_length_b 5.981
_cell_length_c 5.936
_cell_angle_alpha 90.00
_cell_angle_beta 90.00
_cell_angle_gamma 90.00
loop_
_symmetry_equiv_pos_as_xyz
'x,y,z'
loop_
_atom_site_label
_atom_site_fract_x
_atom_site_fract_y
_atom_site_fract_z
_atom_site_occupancy
I1 0.000 0.500 0.000 1
I2 0.500 0.000 0.000 1
Sb1 0.000 0.000 0.000 1
P1 0.500 0.500 0.500 1
Te1 0.000 0.000 0.500 1
```

polymorph energy (0 for the lowest one): 1.42 eV/f.u.
raw total energy: -2.4137 eV/atom

=====

[8]
Entry from the Alexandria database: a geometry-optimized VMo2P structure (PBE).

Geometry as CIF:
```
data_VMo2P
_symmetry_space_group_name_H-M 'P 1'
_symmetry_Int_Tables_number 1
_cell_length_a 3.682
_cell_length_b 3.682
_cell_length_c 9.505
_cell_angle_alpha 78.83
_cell_angle_beta 78.83
_cell_angle_gamma 90.00
loop_
_symmetry_equiv_pos_as_xyz
'x,y,z'
loop_
_atom_site_label
_atom_site_fract_x
_atom_site_fract_y
_atom_site_fract_z
_atom_site_occupancy
P1 0.250 0.750 0.500 1
P2 0.500 0.500 0.000 1
Mo1 0.875 0.858 0.750 1
Mo2 0.608 0.125 0.250 1
Mo3 0.375 0.392 0.750 1
Mo4 0.142 0.625 0.250 1
V1 0.000 0.000 0.000 1
V2 0.750 0.250 0.500 1
```

raw total energy: -8.7583 eV/atom
formation enthalpy at 0 K: 0.29 eV per atom

=====

[9]
Entry from the Alexandria database: a geometry-optimized Eu3TmH structure (PBE).

Geometry as CIF:
```
data_Eu3TmH
_symmetry_space_group_name_H-M 'P 1'
_symmetry_Int_Tables_number 1
_cell_length_a 5.257
_cell_length_b 5.257
_cell_length_c 5.257
_cell_angle_alpha 90.00
_cell_angle_beta 90.00
_cell_angle_gamma 90.00
loop_
_symmetry_equiv_pos_as_xyz
'x,y,z'
loop_
_atom_site_label
_atom_site_fract_x
_atom_site_fract_y
_atom_site_fract_z
_atom_site_occupancy
Eu1 0.000 0.000 0.500 1
Eu2 0.500 0.000 0.000 1
Eu3 0.000 0.500 0.000 1
H1 0.000 0.000 0.000 1
Tm1 0.500 0.500 0.500 1
```

raw total energy: -7.8292 eV/atom

=====

[10]
Entry from the Alexandria database: a geometry-optimized AgBi3Mo structure (PBE).

Geometry as CIF:
```
data_AgBi3Mo
_symmetry_space_group_name_H-M 'P 1'
_symmetry_Int_Tables_number 1
_cell_length_a 5.389
_cell_length_b 5.389
_cell_length_c 5.389
_cell_angle_alpha 90.00
_cell_angle_beta 90.00
_cell_angle_gamma 90.00
loop_
_symmetry_equiv_pos_as_xyz
'x,y,z'
loop_
_atom_site_label
_atom_site_fract_x
_atom_site_fract_y
_atom_site_fract_z
_atom_site_occupancy
Bi1 0.000 0.000 0.500 1
Bi2 0.000 0.500 0.000 1
Bi3 0.500 0.000 0.000 1
Mo1 0.000 0.000 0.000 1
Ag1 0.500 0.500 0.500 1
```

polymorph energy (0 for the lowest one): 0.00 eV/f.u.
raw total energy: -4.3848 eV/atom
formation enthalpy at 0 K: 0.68 eV per atom

=====

[11]
Entry from the Alexandria database: a geometry-optimized La2TeCl structure (PBE).

Geometry as CIF:
```
data_La2TeCl
_symmetry_space_group_name_H-M 'P 1'
_symmetry_Int_Tables_number 1
_cell_length_a 4.170
_cell_length_b 4.170
_cell_length_c 8.435
_cell_angle_alpha 75.69
_cell_angle_beta 75.69
_cell_angle_gamma 60.00
loop_
_symmetry_equiv_pos_as_xyz
'x,y,z'
loop_
_atom_site_label
_atom_site_fract_x
_atom_site_fract_y
_atom_site_fract_z
_atom_site_occupancy
Te1 0.667 0.667 0.000 1
La1 0.084 0.084 0.747 1
La2 0.249 0.249 0.253 1
Cl1 0.500 0.500 0.500 1
```

polymorph energy (0 for the lowest one): 0.40 eV/f.u.
raw total energy: -5.1634 eV/atom

=====

[12]
Entry from the Alexandria database: a geometry-optimized LuPuZnGe structure (PBE).

Geometry as CIF:
```
data_LuPuZnGe
_symmetry_space_group_name_H-M 'P 1'
_symmetry_Int_Tables_number 1
_cell_length_a 4.984
_cell_length_b 4.984
_cell_length_c 4.984
_cell_angle_alpha 60.00
_cell_angle_beta 60.00
_cell_angle_gamma 60.00
loop_
_symmetry_equiv_pos_as_xyz
'x,y,z'
loop_
_atom_site_label
_atom_site_fract_x
_atom_site_fract_y
_atom_site_fract_z
_atom_site_occupancy
Pu1 0.000 0.000 0.000 1
Zn1 0.750 0.750 0.750 1
Ge1 0.250 0.250 0.250 1
Lu1 0.500 0.500 0.500 1
```

raw total energy: -6.5589 eV/atom
formation enthalpy at 0 K: -0.37 eV per atom